Record 1
PBE Zn2CrOs, relaxed; space-group type = I-4m2 (119); energy relative to the lowest polymorph listed for this composition = 117 meV/atom; total magnetization = 0.004 Bohr magnetons per cell; formation energy from the elements = 0.169 eV/atom; calculated total energy = -5.681 eV per atom
1.0
-2.1164 2.1164 2.9893
2.1164 -2.1164 2.9893
2.1164 2.1164 -2.9893
Zn Cr Os
2 1 1
Direct
0.0000 0.0000 0.0000
0.7500 0.2500 0.5000
0.2500 0.7500 0.5000
0.5000 0.5000 0.0000


Record 2
PBE ZnCr2Os2, relaxed; space-group type = P4/mbm (127); energy relative to the lowest polymorph listed for this composition = 0 meV/atom; total magnetization = 0.000 Bohr magnetons per cell; formation energy from the elements = 0.237 eV/atom; calculated total energy = -8.359 eV per atom
1.0
7.2702 0.0000 0.0000
0.0000 7.2702 0.0000
0.0000 0.0000 2.6991
Zn Cr Os
2 4 4
Direct
0.0000 0.0000 0.0000
0.5000 0.5000 0.0000
0.1612 0.3388 0.5000
0.3388 0.8388 0.5000
0.6612 0.1612 0.5000
0.8388 0.6612 0.5000
0.1316 0.6316 0.0000
0.3684 0.1316 0.0000
0.6316 0.8684 0.0000
0.8684 0.3684 0.0000


Record 3
PBE ZnCr2Os, relaxed; space-group type = Pmmm (47); total magnetization = 1.507 Bohr magnetons per cell; formation energy from the elements = 0.224 eV/atom; calculated total energy = -7.714 eV per atom
1.0
3.0750 0.0000 0.0000
0.0000 4.1196 0.0000
0.0000 0.0000 4.2136
Zn Cr Os
1 2 1
Direct
0.0000 0.0000 0.0000
0.0000 0.5000 0.5000
0.5000 0.0000 0.5000
0.5000 0.5000 0.0000


Record 4
PBE Zn2CrOs, relaxed; space-group type = Cmmm (65); energy relative to the lowest polymorph listed for this composition = 284 meV/atom; total magnetization = 0.727 Bohr magnetons per cell; formation energy from the elements = 0.336 eV/atom; calculated total energy = -5.514 eV per atom
1.0
1.4526 -2.1690 0.0000
1.4526 2.1690 0.0000
0.0000 0.0000 8.7279
Zn Cr Os
2 1 1
Direct
0.0000 0.0000 0.2428
0.0000 0.0000 0.7572
0.5000 0.5000 0.0000
0.5000 0.5000 0.5000


Record 5
PBE ZnCr3Os, relaxed; space-group type = Pm-3m (221); energy relative to the lowest polymorph listed for this composition = 0 meV/atom; total magnetization = 8.795 Bohr magnetons per cell; formation energy from the elements = 1.301 eV/atom; calculated total energy = -6.974 eV per atom
1.0
4.6881 0.0000 0.0000
0.0000 4.6881 0.0000
0.0000 0.0000 4.6881
Zn Cr Os
1 3 1
Direct
0.0000 0.0000 0.0000
0.0000 0.5000 0.5000
0.5000 0.0000 0.5000
0.5000 0.5000 0.0000
0.5000 0.5000 0.5000


Record 6
PBE ZnCr2Os, relaxed; space-group type = I-42d (122); total magnetization = 0.000 Bohr magnetons per cell; formation energy from the elements = 0.756 eV/atom; calculated total energy = -7.182 eV per atom
1.0
-3.4217 3.4217 2.5220
3.4217 -3.4217 2.5220
3.4217 3.4217 -2.5220
Zn Cr Os
2 4 2
Direct
0.0000 0.0000 0.0000
0.7500 0.2500 0.5000
0.1609 0.6250 0.0359
0.3750 0.4109 0.5359
0.5891 0.1250 0.9641
0.8750 0.8391 0.4641
0.2500 0.7500 0.5000
0.5000 0.5000 0.0000